# 1
# GGA-PBE LaPrZnCd, relaxed
# Relative energy among the computed polymorphs ... 0.0 kJ/mol of atoms
# ΔE_f ... -0.320 eV/atom
# Total moment ... 0.000 μB/atom
# E_tot ... -13.2 eV for the cell shown
# Crystal system ... tetragonal
data_LaPrZnCd
_chemical_formula_sum 'La1 Pr1 Zn1 Cd1'
_symmetry_space_group_name_H-M 'P 4 m m'
_symmetry_Int_Tables_number 99
_cell_length_a 3.800
_cell_length_b 3.800
_cell_length_c 7.727
_cell_angle_alpha 90.00
_cell_angle_beta 90.00
_cell_angle_gamma 90.00
loop_
_symmetry_equiv_pos_as_xyz
'x,y,z'
'-y,x,z'
'-x,-y,z'
'y,-x,z'
'-x,y,z'
'y,x,z'
'x,-y,z'
'-y,-x,z'
loop_
_atom_site_label
_atom_site_fract_x
_atom_site_fract_y
_atom_site_fract_z
La1 0.000 0.000 0.000
Pr1 0.000 0.000 0.459
Zn1 0.500 0.500 0.235
Cd1 0.500 0.500 0.725

# 2
# GGA-PBE Cr3CuC, relaxed
# Relative energy among the computed polymorphs ... 209.3 kJ/mol of atoms
# ΔE_f ... 2.396 eV/atom
# Total moment ... 2.155 μB/atom
# E_tot ... -30.2 eV for the cell shown
# Crystal system ... cubic
data_Cr3CuC
_chemical_formula_sum 'Cr3 Cu1 C1'
_symmetry_space_group_name_H-M 'P m -3 m'
_symmetry_Int_Tables_number 221
_symmetry_space_group_name_Hall '-P 4 2 3'
_cell_length_a 4.530
_cell_length_b 4.530
_cell_length_c 4.530
_cell_angle_alpha 90.00
_cell_angle_beta 90.00
_cell_angle_gamma 90.00
loop_
_atom_site_label
_atom_site_fract_x
_atom_site_fract_y
_atom_site_fract_z
Cr1 0.000 0.000 0.500
Cu1 0.000 0.000 0.000
C1 0.500 0.500 0.500

# 3
# GGA-PBE Sc2MnMo, relaxed
# Relative energy among the computed polymorphs ... 13.7 kJ/mol of atoms
# ΔE_f ... 0.163 eV/atom
# Total moment ... 0.182 μB/atom
# E_tot ... -32.0 eV for the cell shown
# Crystal system ... monoclinic
data_Sc2MnMo
_chemical_formula_sum 'Sc2 Mn1 Mo1'
_symmetry_space_group_name_H-M 'P 1 m 1'
_symmetry_Int_Tables_number 6
_cell_length_a 3.041
_cell_length_b 4.130
_cell_length_c 5.844
_cell_angle_alpha 90.00
_cell_angle_beta 102.98
_cell_angle_gamma 90.00
loop_
_symmetry_equiv_pos_as_xyz
'x,y,z'
'x,-y,z'
loop_
_atom_site_label
_atom_site_fract_x
_atom_site_fract_y
_atom_site_fract_z
Sc1 0.000 0.000 0.000
Sc2 0.262 0.500 0.676
Mn1 0.715 0.500 0.243
Mo1 0.570 0.000 0.431

# 4
# GGA-PBE ScInFe, relaxed
# ΔE_f ... 0.662 eV/atom
# Total moment ... 0.600 μB/atom
# E_tot ... -62.2 eV for the cell shown
# Crystal system ... cubic
data_ScInFe
_chemical_formula_sum 'Sc4 In4 Fe4'
_symmetry_space_group_name_H-M 'F -4 3 m'
_symmetry_Int_Tables_number 216
_symmetry_space_group_name_Hall 'F -4 2 3'
_cell_length_a 6.514
_cell_length_b 6.514
_cell_length_c 6.514
_cell_angle_alpha 90.00
_cell_angle_beta 90.00
_cell_angle_gamma 90.00
loop_
_atom_site_label
_atom_site_fract_x
_atom_site_fract_y
_atom_site_fract_z
Sc1 0.000 0.000 0.000
In1 0.250 0.250 0.750
Fe1 0.250 0.250 0.250

Please write out number 1 again, unchanged.
# GGA-PBE LaPrZnCd, relaxed
# Relative energy among the computed polymorphs ... 0.0 kJ/mol of atoms
# ΔE_f ... -0.320 eV/atom
# Total moment ... 0.000 μB/atom
# E_tot ... -13.2 eV for the cell shown
# Crystal system ... tetragonal
data_LaPrZnCd
_chemical_formula_sum 'La1 Pr1 Zn1 Cd1'
_symmetry_space_group_name_H-M 'P 4 m m'
_symmetry_Int_Tables_number 99
_cell_length_a 3.800
_cell_length_b 3.800
_cell_length_c 7.727
_cell_angle_alpha 90.00
_cell_angle_beta 90.00
_cell_angle_gamma 90.00
loop_
_symmetry_equiv_pos_as_xyz
'x,y,z'
'-y,x,z'
'-x,-y,z'
'y,-x,z'
'-x,y,z'
'y,x,z'
'x,-y,z'
'-y,-x,z'
loop_
_atom_site_label
_atom_site_fract_x
_atom_site_fract_y
_atom_site_fract_z
La1 0.000 0.000 0.000
Pr1 0.000 0.000 0.459
Zn1 0.500 0.500 0.235
Cd1 0.500 0.500 0.725

> What is the formula in the fourth record?

ScInFe